First-principles (GGA-PBE) data for Zr3NiPb after structural relaxation, as listed in Alexandria via LeMat-Bulk.

Properties
Its crystal system is cubic. The calculation puts the energy above the most stable polymorph in this dataset at 0 meV/atom. Its symmetry is Pm-3m, No. 221. The energy relative to the elements comes out at -6 meV per atom.

Unit cell a=4.8956 b=4.8956 c=4.8956 alpha=90.00 beta=90.00 gamma=90.00
With the nearest neighbours (Å) after each atom.
Fractional coordinates of all 5 atoms:
Zr1 0.0000 0.0000 0.5000  2 Ni 2.45
Zr2 0.5000 0.0000 0.0000  2 Ni 2.45
Pb1 0.5000 0.5000 0.5000  12 Zr 3.46
Zr3 0.0000 0.5000 0.0000  2 Ni 2.45
Ni1 0.0000 0.0000 0.0000  6 Zr 2.45

=====

First-principles (GGA-PBE) data for CeAgSb after structural relaxation, as listed in Alexandria via LeMat-Bulk.

Properties
Its crystal system is tetragonal. Its energy relative to the elements, uncorrected is -372 meV per atom. Its symmetry is I4mm, No. 107.

Unit cell a=4.1239 b=4.1239 c=5.4818 alpha=112.10 beta=112.10 gamma=90.00
With the nearest neighbours (Å) after each atom.
Fractional coordinates of all 3 atoms:
Ag1 0.2812 0.2812 0.5625  5 Sb 3.01-3.34, 5 Ce 3.06-3.32
Ce1 0.6112 0.6112 0.2224  5 Ag 3.06-3.32, 5 Sb 3.22-3.25
Sb1 0.9575 0.9575 0.9151  5 Ag 3.01-3.34, 5 Ce 3.22-3.25

=====

First-principles (GGA-PBE) data for Cd6InGa2 after structural relaxation, as listed in Alexandria via LeMat-Bulk.

Properties
Its crystal system is monoclinic. The calculation puts the energy above the most stable polymorph in this dataset at 7 meV/atom. Its symmetry is C2/m, No. 12. The energy relative to the elements comes out at 58 meV per atom.

Unit cell a=3.2826 b=8.7321 c=8.7321 alpha=58.35 beta=98.99 gamma=98.99
With the nearest neighbours (Å) after each atom.
Fractional coordinates of all 9 atoms:
Cd1 0.8186 0.0210 0.6405  3 Ga 2.93-3.11, 1 In 3.02, 6 Cd 3.09-3.28
Cd2 0.1813 0.3596 0.9790  3 Ga 2.93-3.11, 1 In 3.02, 6 Cd 3.09-3.28
Cd3 0.5002 0.6770 0.3229  2 Ga 2.94, 5 Cd 3.01-3.28, 2 In 3.20
Ga1 0.6779 0.6677 0.6677  8 Cd 2.93-3.11, 2 Ga 3.28
Cd4 0.5002 0.3229 0.6770  2 Ga 2.94, 5 Cd 3.01-3.28, 2 In 3.20
Ga2 0.3217 0.3323 0.3323  8 Cd 2.93-3.11, 2 Ga 3.28
In1 0.0002 0.0000 0.0000  8 Cd 3.02-3.20, 2 In 3.28
Cd5 0.8186 0.6405 0.0210  3 Ga 2.93-3.11, 1 In 3.02, 6 Cd 3.09-3.28
Cd6 0.1813 0.9790 0.3596  3 Ga 2.93-3.11, 1 In 3.02, 6 Cd 3.09-3.28

=====

First-principles (GGA-PBE) data for CePaAu4 after structural relaxation, as listed in Alexandria via LeMat-Bulk.

Properties
Its crystal system is monoclinic. Its symmetry is P2/m, No. 10. The energy relative to the elements comes out at -340 meV per atom.

Unit cell a=4.2210 b=6.9926 c=5.5321 alpha=109.36 beta=90.00 gamma=90.00
With the nearest neighbours (Å) after each atom.
Fractional coordinates of all 6 atoms:
Ce1 0.0000 0.0000 0.0000  8 Au 2.99-3.31
Au1 0.0000 0.2271 0.5626  3 Au 2.92-3.02, 2 Pa 2.94, 1 Ce 2.99
Au2 0.5000 0.7149 0.0562  3 Au 2.86-2.92, 1 Pa 2.94, 2 Ce 2.99
Au3 0.5000 0.2851 0.9438  3 Au 2.86-2.92, 1 Pa 2.94, 2 Ce 2.99
Au4 0.0000 0.7729 0.4374  3 Au 2.92-3.02, 2 Pa 2.94, 1 Ce 2.99
Pa1 0.5000 0.5000 0.5000  8 Au 2.94-3.28

=====

First-principles (GGA-PBE) data for CrAgRu2 after structural relaxation, as listed in Alexandria via LeMat-Bulk.

Properties
Its crystal system is trigonal. The calculation puts the energy above the most stable polymorph in this dataset at 0 meV/atom. Its symmetry is R-3m, No. 166. The energy relative to the elements comes out at 226 meV per atom.

Unit cell a=9.1795 b=9.1795 c=9.1795 alpha=16.98 beta=16.98 gamma=16.98
With the nearest neighbours (Å) after each atom.
Fractional coordinates of all 4 atoms:
Cr1 0.7500 0.7500 0.7500  6 Ru 2.55, 6 Cr 2.71
Ru1 0.4909 0.4909 0.4909  3 Cr 2.55, 6 Ru 2.71
Ag1 0.2500 0.2500 0.2500  6 Ag 2.71, 6 Ru 2.96
Ru2 0.0091 0.0091 0.0091  3 Cr 2.55, 6 Ru 2.71

=====

First-principles (GGA-PBE) data for V4AgSe8 after structural relaxation, as listed in Alexandria via LeMat-Bulk.

Properties
Its crystal system is monoclinic. Its energy relative to the elements, uncorrected is -627 meV per atom. The calculation puts the energy above the most stable polymorph in this dataset at 0 meV/atom. Its symmetry is C2/m, No. 12.

Unit cell a=7.0263 b=7.0263 c=7.5107 alpha=101.62 beta=105.61 gamma=119.80
With the nearest neighbours (Å) after each atom.
Fractional coordinates of all 13 atoms:
V1 0.7804 0.2349 0.0153  6 Se 2.44-2.67
Se1 0.3076 0.9892 0.7734  3 V 2.44-2.67
Se2 0.3123 0.4920 0.8043  3 V 2.57-2.59, 1 Ag 2.74
Se3 0.7867 0.9647 0.7514  3 V 2.47-2.48
V2 0.2173 0.2173 0.0000  6 Se 2.47-2.59
Ag1 0.0000 0.5000 0.5000  6 Se 2.74-2.84
Se4 0.7842 0.4658 0.7734  3 V 2.44-2.67
Se5 0.2133 0.0353 0.2486  3 V 2.47-2.48
V3 0.2196 0.7651 0.9847  6 Se 2.44-2.67
Se6 0.6877 0.5080 0.1957  3 V 2.57-2.59, 1 Ag 2.74
V4 0.7827 0.7827 0.0000  6 Se 2.47-2.59
Se7 0.6924 0.0108 0.2266  3 V 2.44-2.67
Se8 0.2158 0.5342 0.2266  3 V 2.44-2.67

=====

First-principles (GGA-PBE) data for CePaV after structural relaxation, as listed in Alexandria via LeMat-Bulk.

Properties
Its crystal system is monoclinic. The calculation puts the energy above the most stable polymorph in this dataset at 73 meV/atom. Its symmetry is C2/m, No. 12. The energy relative to the elements comes out at 249 meV per atom.

Unit cell a=5.1789 b=4.5912 c=8.5577 alpha=119.28 beta=90.00 gamma=124.33
With the nearest neighbours (Å) after each atom.
Fractional coordinates of all 6 atoms:
Ce1 0.6612 0.3223 0.8964  1 Pa 2.94, 2 Ce 2.97, 4 V 3.08-3.21
V1 0.1540 0.3080 0.6716  1 V 2.44
Pa1 0.2587 0.5175 0.4002  4 V 2.81-2.87, 1 Ce 2.94, 1 Pa 2.98
Ce2 0.3388 0.6777 0.1036  1 Pa 2.94, 2 Ce 2.97, 4 V 3.08-3.21
V2 0.8460 0.6920 0.3284  1 V 2.44
Pa2 0.7413 0.4825 0.5998  4 V 2.81-2.87, 1 Ce 2.94, 1 Pa 2.98

=====

First-principles (GGA-PBE) data for La4Pm6Sm after structural relaxation, as listed in Alexandria via LeMat-Bulk.

Properties
Its crystal system is tetragonal. The calculation puts the energy above the most stable polymorph in this dataset at 19 meV/atom. Its symmetry is I-42m, No. 121. The energy relative to the elements comes out at 271 meV per atom.

Unit cell a=9.6750 b=9.6750 c=9.6750 alpha=61.01 beta=137.93 gamma=137.93
With the nearest neighbours (Å) after each atom.
Fractional coordinates of all 11 atoms:
Pm1 0.6621 0.2179 0.2179  3 Pm 3.20-3.32, 1 La 3.46
Pm2 0.0000 0.7821 0.4443  3 Pm 3.20-3.32, 1 La 3.46
Sm1 0.0000 0.0000 0.0000  8 Pm 3.47-3.76, 4 La 3.52
Pm3 0.5000 0.0000 0.5000  4 Pm 3.20, 2 Sm 3.47
La1 0.6222 0.9905 0.9905  3 Pm 3.46-3.65, 1 Sm 3.52, 1 La 3.71
Pm4 0.3379 0.5557 0.5557  3 Pm 3.20-3.32, 1 La 3.46
La2 0.3778 0.3683 0.3683  3 Pm 3.46-3.65, 1 Sm 3.52, 1 La 3.71
La3 0.0000 0.0095 0.6317  3 Pm 3.46-3.65, 1 Sm 3.52, 1 La 3.71
Pm5 0.0000 0.4443 0.7821  3 Pm 3.20-3.32, 1 La 3.46
Pm6 0.5000 0.5000 0.0000  4 Pm 3.20, 2 Sm 3.47
La4 0.0000 0.6317 0.0095  3 Pm 3.46-3.65, 1 Sm 3.52, 1 La 3.71

=====

| no. | magnetic moment (μB/f.u.) | theoretical density (kg/m3) |
| --- | --- | --- |
| 1 | 0.00 | 7636 |
| 2 | 0.62 | 7778 |
| 3 | 0.00 | 7357 |
| 4 | 0.89 | 12493 |
| 5 | 0.00 | 10449 |
| 6 | 5.21 | 5518 |
| 7 | 0.00 | 10354 |
| 8 | 0.00 | 6508 |